*1*
A plane-wave DFT calculation with GGA-PBE was carried out for a relaxed structure of Li3PIr.

Cell: 4.5528 4.5528 4.5528 Å, 90.00 90.00 90.00°
Closest atoms and distances in Å follow each position.
Positions (direct):
1 Li 0.0000 0.0000 0.5000  2 Ir 2.28
2 Li 0.0000 0.5000 0.0000  2 Ir 2.28
3 Li 0.5000 0.0000 0.0000  2 Ir 2.28
4 P 0.5000 0.5000 0.5000  12 Li 3.22
5 Ir 0.0000 0.0000 0.0000  6 Li 2.28

calculated density = 4.29 g/cm³
magnetic moment = 0.000 μB per formula unit



*2*
A plane-wave DFT calculation with GGA-PBE was carried out for a relaxed structure of Li3PIr.

Cell: 4.4044 4.4044 4.4044 Å, 90.00 90.00 90.00°
Closest atoms and distances in Å follow each position.
Positions (direct):
1 Li 0.0000 0.0000 0.5000  2 P 2.20
2 Li 0.0000 0.5000 0.0000  2 P 2.20
3 Li 0.5000 0.0000 0.0000  2 P 2.20
4 P 0.0000 0.0000 0.0000  6 Li 2.20
5 Ir 0.5000 0.5000 0.5000  12 Li 3.11

calculated density = 4.74 g/cm³
magnetic moment = 1.668 μB per formula unit



The data favor *2*; the next most stable structure lies 0.176 eV/atom above it.